(1)
First-principles (PBE) data for a relaxed Tl3Sn2Pb4 crystal, as listed in Alexandria via LeMat-Bulk.

Cell and atoms, written as POSCAR:
```
Tl3Sn2Pb4
1.0
6.685 -0.189 0.295
0.024 8.491 4.722
-0.435 0.025 9.706
Sn Pb Tl
4 8 6
Direct
0.000 0.839 0.506
0.500 0.494 0.161
0.500 0.506 0.839
0.000 0.161 0.494
0.500 0.827 0.505
0.000 0.163 0.823
0.500 0.823 0.163
0.000 0.837 0.177
0.500 0.173 0.495
0.000 0.495 0.173
0.000 0.505 0.827
0.500 0.177 0.837
0.250 0.500 0.500
0.250 0.167 0.168
0.750 0.500 0.500
0.750 0.833 0.832
0.750 0.168 0.167
0.250 0.832 0.833
```

Its magnetic moment is 0.00 μB/cell. The value obtained for the density is 10.11 g/cm3.



(2)
First-principles (PBE) data for a relaxed Li2CoOs crystal, as listed in Alexandria via LeMat-Bulk.

Cell and atoms, written as POSCAR:
```
Li2CoOs
1.0
-1.281 -0.495 2.086
-0.297 -2.366 -0.744
7.251 -2.150 3.944
Os Li Co
1 2 1
Direct
0.500 0.500 0.250
0.000 0.000 0.505
0.000 0.000 0.995
0.500 0.500 0.750
```

Its magnetic moment is 1.69 μB/cell. The value obtained for the density is 8.21 g/cm3.



(3)
First-principles (PBE) data for a relaxed TaVCo2Pb crystal, as listed in Alexandria via LeMat-Bulk.

Cell and atoms, written as POSCAR:
```
TaVCo2Pb
1.0
4.336 0.000 0.000
0.000 4.760 0.000
0.000 0.000 4.336
Co Pb V Ta
2 1 1 1
Direct
0.000 0.000 0.500
0.500 0.000 0.000
0.500 0.500 0.500
0.000 0.000 0.000
0.000 0.500 0.000
```

Its magnetic moment is 0.84 μB/cell. The value obtained for the density is 10.33 g/cm3.



(4)
First-principles (PBE) data for a relaxed Pm6NdDy4 crystal, as listed in Alexandria via LeMat-Bulk.

Cell and atoms, written as POSCAR:
```
Pm6NdDy4
1.0
-5.010 -1.972 5.362
-1.772 -6.243 -3.952
8.222 0.677 2.547
Dy Nd Pm
4 1 6
Direct
0.085 0.756 0.841
0.756 0.085 0.841
0.915 0.915 0.159
0.244 0.244 0.159
0.500 0.500 0.000
0.000 0.500 0.000
0.457 0.919 0.375
0.500 0.000 0.000
0.919 0.457 0.375
0.543 0.543 0.625
0.081 0.081 0.625
```

Its magnetic moment is 0.00 μB/cell. The value obtained for the density is 7.08 g/cm3.



Computed formation energy from the elements, in the same sequence as the records: 41.3 320.5 1057.8 368.6 meV/atom.
Computed N(E_F), in the same sequence as the records: 0.631 0.997 1.219 1.341 states/eV per atom.
Computed E, in the same sequence as the records: -0.1207 -0.1918 -0.2470 -0.1591 hartree per atom.